Record 1
! HfAg4Te4, relaxed, DFT GGA-PBE; values from VASP
&SYSTEM
  ibrav = 0, nat = 9, ntyp = 3
/
ATOMIC_SPECIES
Hf 178.49 Hf.upf
Ag 107.87 Ag.upf
Te 127.60 Te.upf
ATOMIC_POSITIONS angstrom
Hf 0.000 0.000 0.000
Ag 3.263 0.000 0.000
Ag 0.000 3.263 0.000
Ag 0.000 0.000 3.180
Ag 3.263 3.263 3.364
Te 1.645 1.645 4.938
Te 1.619 4.908 1.606
Te -1.645 -1.645 4.938
Te 4.908 1.619 1.606
CELL_PARAMETERS angstrom
6.526 0.000 0.000
0.000 6.526 0.000
-3.263 -3.263 6.544
! Mass density ... 6.67 g/cm³
! Raw formation energy ... -0.32 eV per atom
! Uncorrected energy ... -4.0891 eV per atom

=====

Record 2
! HfAg4Te5, relaxed, DFT GGA-PBE; values from VASP
&SYSTEM
  ibrav = 0, nat = 10, ntyp = 3
/
ATOMIC_SPECIES
Hf 178.49 Hf.upf
Ag 107.87 Ag.upf
Te 127.60 Te.upf
ATOMIC_POSITIONS angstrom
Hf -0.177 0.555 -0.002
Ag -7.328 3.645 -1.768
Ag -7.258 6.723 -4.869
Ag -3.498 1.800 -0.754
Ag -3.428 4.878 -3.855
Te -7.916 6.584 -1.606
Te -6.552 3.936 -4.525
Te -4.236 4.689 -1.099
Te -2.873 2.041 -4.017
Te -1.016 3.190 -0.014
CELL_PARAMETERS angstrom
-1.776 5.574 -0.025
-1.873 2.443 -6.630
-7.195 0.782 1.031
! Mass density ... 7.89 g/cm³
! Raw formation energy ... -0.19 eV per atom
! Uncorrected energy ... -3.8970 eV per atom

=====

Copy entry 1 word for word.
! HfAg4Te4, relaxed, DFT GGA-PBE; values from VASP
&SYSTEM
  ibrav = 0, nat = 9, ntyp = 3
/
ATOMIC_SPECIES
Hf 178.49 Hf.upf
Ag 107.87 Ag.upf
Te 127.60 Te.upf
ATOMIC_POSITIONS angstrom
Hf 0.000 0.000 0.000
Ag 3.263 0.000 0.000
Ag 0.000 3.263 0.000
Ag 0.000 0.000 3.180
Ag 3.263 3.263 3.364
Te 1.645 1.645 4.938
Te 1.619 4.908 1.606
Te -1.645 -1.645 4.938
Te 4.908 1.619 1.606
CELL_PARAMETERS angstrom
6.526 0.000 0.000
0.000 6.526 0.000
-3.263 -3.263 6.544
! Mass density ... 6.67 g/cm³
! Raw formation energy ... -0.32 eV per atom
! Uncorrected energy ... -4.0891 eV per atom